DFT (PBE-GGA) results for an optimized crystal structure of FeAg2Br6.

relative energy among the computed polymorphs = 0.00 eV/f.u.
uncorrected energy = -3.013 eV per atom
energy relative to the elements, uncorrected = -0.32 eV/atom

Lattice parameters (Å, degrees): 7.572 10.055 10.055 78.61 69.85 69.85
Fractional positions:
Ag 0.450 0.226 0.328
Br 0.014 0.789 0.014
Br 0.255 0.409 0.173
Br 0.245 0.827 0.591
Br 0.138 0.238 0.585
Br 0.486 0.986 0.211
Fe 0.750 0.779 0.221
Ag 0.050 0.672 0.774
Fe 0.250 0.221 0.779
Ag 0.550 0.774 0.672
Br 0.755 0.173 0.409
Br 0.986 0.211 0.986
Br 0.745 0.591 0.827
Br 0.638 0.585 0.238
Ag 0.950 0.328 0.226
Br 0.362 0.415 0.762
Br 0.514 0.014 0.789
Br 0.862 0.762 0.415

---

DFT (PBE-GGA) results for an optimized crystal structure of FeAgBr4.

relative energy among the computed polymorphs = 0.05 eV/f.u.
uncorrected energy = -3.447 eV per atom
energy relative to the elements, uncorrected = -0.45 eV/atom

Lattice parameters (Å, degrees): 6.288 6.290 11.690 90.00 90.00 90.00
Fractional positions:
Br 0.775 0.291 0.881
Br 0.790 0.223 0.380
Ag 0.500 0.000 0.500
Br 0.210 0.223 0.620
Br 0.775 0.709 0.119
Br 0.225 0.709 0.881
Fe 0.000 0.500 0.000
Br 0.225 0.291 0.119
Fe 0.000 0.000 0.500
Ag 0.000 0.000 0.000
Br 0.790 0.777 0.620
Br 0.210 0.777 0.380

---

DFT (PBE-GGA) results for an optimized crystal structure of FeAg3Br.

relative energy among the computed polymorphs = 0.00 eV/f.u.
uncorrected energy = -2.912 eV per atom
energy relative to the elements, uncorrected = 0.83 eV/atom

Lattice parameters (Å, degrees): 4.988 4.988 4.988 90.00 90.00 90.00
Fractional positions:
Ag 0.000 0.000 0.500
Ag 0.500 0.000 0.000
Fe 0.000 0.000 0.000
Ag 0.000 0.500 0.000
Br 0.500 0.500 0.500